Computed, not measured: a relaxed SmIn4PbS8 crystal at the PBE-GGA level of DFT.

Cell lengths 7.954, 7.954, 8.227 Å; angles 61.09, 61.09, 60.00 degrees
Positions (direct):
S 0.244 0.790 0.723
S 0.230 0.230 0.310
S 0.752 0.224 0.271
S 0.752 0.752 0.271
S 0.790 0.244 0.723
S 0.244 0.244 0.723
S 0.765 0.765 0.706
S 0.224 0.752 0.271
In 0.627 0.627 0.119
In 0.000 0.000 0.500
In 0.000 0.499 0.500
In 0.499 0.000 0.500
Pb 0.371 0.371 0.886
Sm 0.001 0.001 0.998

Energy relative to the elements, uncorrected (kJ/mol of atoms): -71.2
Symmetry: No. 160
Final energy (eV per atom): -4.48